First-principles (PBE) data for crystalline TmHfCdPd at its relaxed geometry, as listed in the Alexandria database.

Calculated values
Theoretical density = 11.057 g/cm³
M_tot = 0.0 μB per formula unit
D(E_F) = 5.548 states/eV per cell
ΔE_f = -324 meV/atom

Lattice parameters (Å, degrees): 4.9360 4.9360 4.9360 60.00 60.00 60.00
Last column: nearest neighbours and their distance in Å.
Element x y z (fractional)
Pd 0.2500 0.2500 0.2500  4 Tm 3.02, 4 Hf 3.02
Hf 0.5000 0.5000 0.5000  4 Pd 3.02, 4 Cd 3.02
Cd 0.7500 0.7500 0.7500  4 Hf 3.02, 4 Tm 3.02
Tm 0.0000 0.0000 0.0000  4 Cd 3.02, 4 Pd 3.02

First-principles (PBE) data for crystalline SrCdNi at its relaxed geometry, as listed in the Alexandria database.

Calculated values
Theoretical density = 5.744 g/cm³
M_tot = 0.0 μB per formula unit
D(E_F) = 9.208 states/eV per cell
ΔE_f = -88 meV/atom

Lattice parameters (Å, degrees): 6.1486 6.9844 7.7587 90.00 90.00 116.11
Last column: nearest neighbours and their distance in Å.
Element x y z (fractional)
Cd 0.2976 0.0953 0.2500  4 Ni 2.76-2.82, 2 Cd 3.07
Ni 0.4118 0.8236 0.4615  1 Ni 2.29
Ni 0.5882 0.1764 0.5385  1 Ni 2.29
Sr 0.1841 0.3681 0.6001  4 Ni 3.05-3.34
Sr 0.8159 0.6319 0.3999  4 Ni 3.05-3.34
Sr 0.3159 0.6319 0.1001  4 Ni 3.05-3.34
Cd 0.7976 0.0953 0.2500  4 Ni 2.76-2.82, 2 Cd 3.07
Ni 0.0882 0.1764 0.9615  1 Ni 2.29
Cd 0.2024 0.9047 0.7500  4 Ni 2.76-2.82, 2 Cd 3.07
Cd 0.7024 0.9047 0.7500  4 Ni 2.76-2.82, 2 Cd 3.07
Ni 0.9118 0.8236 0.0385  1 Ni 2.29
Sr 0.6841 0.3681 0.8999  4 Ni 3.05-3.34

First-principles (PBE) data for crystalline HfMoRh14 at its relaxed geometry, as listed in the Alexandria database.

Calculated values
Theoretical density = 12.219 g/cm³
M_tot = 0.0 μB per formula unit
D(E_F) = 23.146 states/eV per cell
ΔE_f = -210 meV/atom

Lattice parameters (Å, degrees): 5.4745 5.4745 7.7772 90.00 90.00 90.00
Last column: nearest neighbours and their distance in Å.
Element x y z (fractional)
Rh 0.3749 0.6251 0.5000  12 Rh 2.72-2.74
Rh 0.6217 0.8717 0.2515  10 Rh 2.70-2.77, 1 Mo 2.73, 1 Hf 2.77
Rh 0.1284 0.8716 0.2515  10 Rh 2.70-2.77, 1 Mo 2.73, 1 Hf 2.77
Hf 0.8750 0.1250 0.0000  12 Rh 2.74-2.77
Rh 0.6217 0.8717 0.7485  10 Rh 2.70-2.77, 1 Mo 2.73, 1 Hf 2.77
Mo 0.3750 0.6250 0.0000  12 Rh 2.73-2.74
Rh 0.3749 0.1250 0.5000  12 Rh 2.74
Rh 0.1284 0.8716 0.7485  10 Rh 2.70-2.77, 1 Mo 2.73, 1 Hf 2.77
Rh 0.6217 0.3783 0.7485  10 Rh 2.70-2.77, 1 Mo 2.73, 1 Hf 2.77
Rh 0.1283 0.3783 0.2515  10 Rh 2.70-2.77, 1 Mo 2.73, 1 Hf 2.77
Rh 0.3749 0.1251 0.0000  2 Mo 2.74, 2 Hf 2.74, 8 Rh 2.75
Rh 0.1283 0.3783 0.7485  10 Rh 2.70-2.77, 1 Mo 2.73, 1 Hf 2.77
Rh 0.8749 0.6251 0.0000  2 Mo 2.74, 2 Hf 2.74, 8 Rh 2.75
Rh 0.8750 0.6251 0.5000  12 Rh 2.74
Rh 0.6217 0.3783 0.2515  10 Rh 2.70-2.77, 1 Mo 2.73, 1 Hf 2.77
Rh 0.8750 0.1250 0.5000  12 Rh 2.74-2.75